Entry 1:
Entry from Alexandria via LeMat-Bulk: an optimized crystal structure of Pr3Nd7Er2 (GGA-PBE).

Cell: 6.3201 5.7098 12.3434 Å, 90.00 92.19 90.00°
Space group P2/m (No. 10)
Asymmetric unit:
1 Pr 0.0000 0.0000 0.0000 x1
2 Pr 0.4318 0.5000 0.3391 x2
3 Nd 0.0605 0.5000 0.8110 x2
4 Nd 0.2557 0.0000 0.5508 x2
5 Nd 0.4085 0.0000 0.8311 x2
6 Nd 0.5000 0.5000 0.0000 x1
7 Er 0.1281 0.0000 0.2792 x2

Calculated formation energy in eV/f.u.: 3.17
DOS at the Fermi energy in states/eV/f.u.: 17.21

***

Entry 2:
Entry from Alexandria via LeMat-Bulk: an optimized crystal structure of HfAgS3 (GGA-PBE).

Cell: 4.6987 4.6987 4.6987 Å, 90.00 90.00 90.00°
Space group Pm-3m (No. 221)
Asymmetric unit:
1 Hf 0.0000 0.0000 0.0000 x1
2 Ag 0.5000 0.5000 0.5000 x1
3 S 0.0000 0.5000 0.5000 x3

Formation energy without anion corrections in kJ/mol of atoms: 46.0
DOS at the Fermi energy in states/eV/f.u.: 3.05

***

Entry 3:
Entry from Alexandria via LeMat-Bulk: an optimized crystal structure of NbTlSe3 (GGA-PBE).

Cell: 17.6946 4.7966 8.4258 Å, 90.00 106.68 90.00°
Space group C2/m (No. 12)
Asymmetric unit:
1 Nb 0.1633 0.0000 0.3236 x4
2 Tl 0.1108 0.5000 0.7978 x4
3 Se 0.0261 0.0000 0.2858 x4
4 Se 0.1880 0.0000 0.0622 x4
5 Se 0.1891 0.5000 0.4563 x4

Formation energy without anion corrections in kJ/mol of atoms: -50.5

***

Entry 4:
Entry from Alexandria via LeMat-Bulk: an optimized crystal structure of CsZnTe2Pb (GGA-PBE).

Cell: 8.5253 4.1816 10.3850 Å, 90.00 90.04 90.00°
Space group P2/c (No. 13)
Asymmetric unit:
1 Cs 0.0000 0.0008 0.2500 x2
2 Zn 0.5000 0.0000 0.0000 x2
3 Te 0.2663 0.4302 0.9999 x4
4 Pb 0.5000 0.4999 0.2500 x2

Formation energy without anion corrections in kJ/mol of atoms: -44.3
DOS at the Fermi energy in states/eV/f.u.: 0.13

***

Entry 5:
Entry from Alexandria via LeMat-Bulk: an optimized crystal structure of V3TcMo (GGA-PBE).

Cell: 4.4863 4.4863 4.4863 Å, 90.00 90.00 90.00°
Space group Pm-3m (No. 221)
Asymmetric unit:
1 V 0.0000 0.0000 0.5000 x3
2 Tc 0.0000 0.0000 0.0000 x1
3 Mo 0.5000 0.5000 0.5000 x1

Calculated formation energy in eV/f.u.: 6.43
DOS at the Fermi energy in states/eV/f.u.: 8.51

***

Entry 6:
Entry from Alexandria via LeMat-Bulk: an optimized crystal structure of RbSrMg2Bi (GGA-PBE).

Cell: 5.9067 5.9067 6.7486 Å, 90.00 90.00 90.00°
Space group P4/mmm (No. 123)
Asymmetric unit:
1 Rb 0.0000 0.0000 0.0000 x1
2 Sr 0.5000 0.5000 0.0000 x1
3 Mg 0.0000 0.5000 0.5000 x2
4 Bi 0.0000 0.0000 0.5000 x1

Calculated formation energy in eV/f.u.: 1.05
DOS at the Fermi energy in states/eV/f.u.: 2.09

***

no.,density (g cm⁻³)
1,6.6
2,6.1
3,5.2
4,5.9
5,6.4
6,3.0